Si2HgRh, relaxed, DFT PBE; total energy = -4.71 eV per atom; formation energy without anion corrections = -0.36 eV/f.u.; total magnetic moment = 0.00 μB per formula unit; calculated volume = 90.08 Å³/cell
1.0
-2.164 -3.165 -1.294
0.520 -3.668 1.626
-3.801 4.223 4.221
Si Hg Rh
2 1 1
Cartesian
-2.356 -2.794 1.683 Si
-2.010 -5.344 0.925 Si
-4.083 -1.957 3.415 Hg
-1.361 -0.652 1.138 Rh

***

Rb3NbMo, relaxed, DFT PBE; ΔE to the lowest computed polymorph = 0 meV per atom; total energy = -1.96 eV per atom; calculated formation energy = 2.7962 eV per atom; total magnetic moment = 0.00 μB per formula unit; calculated volume = 220.83 Å³/cell
1.0
6.044 0.000 0.000
0.000 6.044 0.000
0.000 0.000 6.044
Rb Nb Mo
3 1 1
Cartesian
3.022 0.000 0.000 Rb
0.000 0.000 3.022 Rb
0.000 3.022 0.000 Rb
3.022 3.022 3.022 Nb
0.000 0.000 0.000 Mo

***

Which formula does entry 2 have?
Rb3NbMo

***

Which value of total magnetic moment does entry 1 give?
0.00 μB per formula unit

***

The highest calculated volume belongs to which entry?
Rb3NbMo